Mg4AsBr: single point on PBEsol structure, meta-GGA SCAN.

Summary:
formation energy without anion corrections: -7 meV/atom
total energy: -59.59 eV for the cell shown
SG: F-43m (216)

POSCAR file:
```
Mg4AsBr
1.0
0.000 4.071 4.071
4.071 0.000 4.071
4.071 4.071 0.000
Mg As Br
4 1 1
direct
0.124 0.124 0.124 Mg
0.124 0.124 0.629 Mg
0.124 0.629 0.124 Mg
0.629 0.124 0.124 Mg
0.750 0.750 0.750 As
0.500 0.500 0.500 Br
```